{
  "formula": "Pa4OsI5",
  "functional": "PBE",
  "state": "optimized geometry",
  "spacegroup": "No. 12",
  "mass_density_g_cm3": 8.87,
  "e_form_raw_ev_per_atom": -0.56,
  "lattice_angstrom": [[3.8580, 0.0000, -0.8401], [-0.3967, 8.9276, -1.8216], [0.0346, 0.2747, 9.4372]],
  "species": ["Pa", "Pa", "Pa", "Pa", "Os", "I", "I", "I", "I", "I"],
  "frac_coords": [[0.6607, 0.0518, 0.3214], [0.9987, 0.1978, 0.9974], [0.3393, 0.9482, 0.6786], [0.0013, 0.8022, 0.0026], [0.5000, 0.0000, 0.0000], [0.1675, 0.3302, 0.3351], [0.1706, 0.7842, 0.3411], [0.8294, 0.2158, 0.6589], [0.5000, 0.5000, 0.0000], [0.8325, 0.6698, 0.6649]]
}